(1)
CeTmIrI | GGA-PBE | relaxed

Cell: 4.079 4.079 8.339 Å, 90.00 104.16 120.00°
Positions (direct):
Ce (0.515, 0.156, 0.686)
Tm (0.093, 0.944, 0.053)
I (0.964, 0.380, 0.359)
Ir (0.305, 0.551, 0.871)

**E_form (uncorrected)**: -0.94 eV/atom
**Raw total energy**: -6.1394 eV/atom
**Density of states at the Fermi level**: 5.0 states/eV/f.u.
**Crystal system**: trigonal



(2)
K2CeI4 | GGA-PBE | relaxed

Cell: 4.404 9.270 10.047 Å, 123.98 90.00 90.00°
Positions (direct):
K (0.500, 0.833, 0.455)
K (0.500, 0.310, 0.545)
I (0.500, 0.768, 0.774)
I (0.000, 0.964, 0.257)
I (0.000, 0.179, 0.743)
I (0.500, 0.375, 0.226)
Ce (0.000, 0.071, 0.000)

**Energy relative to the lowest polymorph listed for this composition**: 0.00 eV per formula unit
**E_form (uncorrected)**: -1.28 eV/atom
**Raw total energy**: -3.3299 eV/atom
**Density of states at the Fermi level**: 8.3 states/eV/f.u.
**Crystal system**: monoclinic